Cr2S3O12, optimized geometry, DFT GGA+U; energy relative to the lowest polymorph listed for this composition = 8.2 meV per atom; uncorrected energy = -6.627 eV/atom; Fermi-level density of states = 0.0 states/eV/cell; symmetry = P2_1/c; total magnetization = 23.90 μB per cell
1.0
8.346 0.000 0.000
0.000 8.613 0.000
-8.198 0.000 11.737
Cr S O
8 12 48
Direct
0.133 0.033 0.385 Cr
0.133 0.467 0.885 Cr
0.366 0.036 0.113 Cr
0.366 0.464 0.613 Cr
0.634 0.536 0.387 Cr
0.634 0.964 0.887 Cr
0.867 0.533 0.115 Cr
0.867 0.967 0.615 Cr
0.037 0.616 0.646 S
0.037 0.884 0.146 S
0.256 0.118 0.652 S
0.256 0.382 0.152 S
0.456 0.748 0.994 S
0.456 0.752 0.494 S
0.544 0.248 0.506 S
0.544 0.252 0.006 S
0.744 0.618 0.848 S
0.744 0.882 0.348 S
0.963 0.116 0.854 S
0.963 0.384 0.354 S
0.033 0.726 0.186 O
0.033 0.774 0.686 O
0.111 0.503 0.740 O
0.111 0.997 0.240 O
0.119 0.081 0.683 O
0.119 0.419 0.183 O
0.162 0.087 0.529 O
0.162 0.413 0.029 O
0.166 0.071 0.948 O
0.166 0.429 0.448 O
0.170 0.612 0.608 O
0.170 0.888 0.108 O
0.264 0.673 0.947 O
0.264 0.827 0.447 O
0.301 0.214 0.176 O
0.301 0.286 0.676 O
0.387 0.132 0.440 O
0.387 0.368 0.940 O
0.434 0.020 0.720 O
0.434 0.480 0.220 O
0.457 0.687 0.398 O
0.457 0.813 0.898 O
0.485 0.630 0.575 O
0.485 0.870 0.075 O
0.515 0.130 0.925 O
0.515 0.370 0.425 O
0.543 0.187 0.102 O
0.543 0.313 0.602 O
0.566 0.520 0.780 O
0.566 0.980 0.280 O
0.613 0.632 0.060 O
0.613 0.868 0.560 O
0.699 0.714 0.324 O
0.699 0.786 0.824 O
0.736 0.173 0.553 O
0.736 0.327 0.053 O
0.830 0.112 0.892 O
0.830 0.388 0.392 O
0.834 0.571 0.552 O
0.834 0.929 0.052 O
0.838 0.587 0.971 O
0.838 0.913 0.471 O
0.881 0.581 0.817 O
0.881 0.919 0.317 O
0.889 0.003 0.760 O
0.889 0.497 0.260 O
0.967 0.226 0.314 O
0.967 0.274 0.814 O